A plane-wave DFT calculation with PBE was carried out for a geometry-optimized Ba2ScPaAs4 structure.

Calculated values
- raw total energy (eV/atom) = -5.94
- volume (Å³/f.u.) = 234
- space group = P2/m (10)
- calculated formation energy (eV/atom) = -1.15

a b c (Å): 4.316 7.310 7.823
angles (deg): 108.57 90.00 90.00
Fractional coordinates of all 8 atoms:
Sc1 0.000 0.000 0.000
As1 0.000 0.265 0.800
As2 0.500 0.234 0.198
As3 0.500 0.766 0.802
As4 0.000 0.735 0.200
Ba1 0.000 0.500 0.500
Ba2 0.500 0.000 0.500
Pa1 0.500 0.500 0.000

A plane-wave DFT calculation with PBE was carried out for a geometry-optimized Ba2PaAs2Se2 structure.

Calculated values
- raw total energy (eV/atom) = -5.54
- volume (Å³/f.u.) = 247
- E_form (uncorrected) (meV/atom) = -1312
- space group = I4/mmm (139)

a b c (Å): 5.434 5.434 9.208
angles (deg): 107.16 107.16 90.00
Fractional coordinates of all 7 atoms:
Ba1 0.359 0.359 0.719
Ba2 0.641 0.641 0.281
Se1 0.168 0.168 0.336
Se2 0.832 0.832 0.664
As1 0.000 0.500 0.000
As2 0.500 0.000 0.000
Pa1 0.000 0.000 0.000

A plane-wave DFT calculation with PBE was carried out for a geometry-optimized Ba2SmPaAs4 structure.

Calculated values
- raw total energy (eV/atom) = -5.81
- volume (Å³/f.u.) = 247
- space group = P2/m (10)
- calculated formation energy (eV/atom) = -1.22

a b c (Å): 4.388 7.528 7.906
angles (deg): 108.62 90.00 90.00
Fractional coordinates of all 8 atoms:
As1 0.000 0.723 0.204
As2 0.500 0.750 0.792
As3 0.000 0.277 0.796
As4 0.500 0.250 0.208
Ba1 0.000 0.500 0.500
Ba2 0.500 0.000 0.500
Sm1 0.000 0.000 0.000
Pa1 0.500 0.500 0.000

A plane-wave DFT calculation with PBE was carried out for a geometry-optimized Ba3Sm2PaAs6 structure.

Calculated values
- raw total energy (eV/atom) = -5.59
- volume (Å³/f.u.) = 374
- space group = C2/m (12)
- calculated formation energy (eV/atom) = -1.20

a b c (Å): 7.603 7.603 7.899
angles (deg): 99.25 99.25 120.03
Fractional coordinates of all 12 atoms:
As1 0.610 0.931 0.793
As2 0.069 0.390 0.207
As3 0.931 0.610 0.793
As4 0.390 0.069 0.207
As5 0.750 0.750 0.209
As6 0.250 0.250 0.791
Ba1 0.500 0.500 0.500
Ba2 0.170 0.830 0.500
Ba3 0.830 0.170 0.500
Pa1 0.000 0.000 0.000
Sm1 0.666 0.334 0.000
Sm2 0.334 0.666 0.000

A plane-wave DFT calculation with PBE was carried out for a geometry-optimized Ba2SrPaAs4 structure.

Calculated values
- raw total energy (eV/atom) = -5.25
- volume (Å³/f.u.) = 260
- space group = P2/m (10)
- calculated formation energy (eV/atom) = -1.05

a b c (Å): 4.466 7.777 7.917
angles (deg): 109.21 90.00 90.00
Fractional coordinates of all 8 atoms:
As1 0.500 0.212 0.206
As2 0.000 0.232 0.785
As3 0.000 0.768 0.215
As4 0.500 0.788 0.794
Ba1 0.000 0.500 0.500
Ba2 0.500 0.000 0.500
Sr1 0.500 0.500 0.000
Pa1 0.000 0.000 0.000

A plane-wave DFT calculation with PBE was carried out for a geometry-optimized Ba3Sr2PaAs6 structure.

Calculated values
- raw total energy (eV/atom) = -4.85
- volume (Å³/f.u.) = 401
- space group = C2/m (12)
- calculated formation energy (eV/atom) = -0.97

a b c (Å): 7.899 7.899 7.892
angles (deg): 99.60 99.60 120.15
Fractional coordinates of all 12 atoms:
Sr1 0.666 0.334 0.000
Sr2 0.334 0.666 0.000
As1 0.227 0.227 0.781
As2 0.072 0.374 0.216
As3 0.773 0.773 0.219
As4 0.928 0.626 0.784
As5 0.374 0.072 0.216
As6 0.626 0.928 0.784
Ba1 0.500 0.500 0.500
Ba2 0.173 0.827 0.500
Ba3 0.827 0.173 0.500
Pa1 0.000 0.000 0.000